VASP calculation (PBE) on a geometry-optimized Sr4Dy3AgSe8 structure.

```
Sr4Dy3AgSe8
1.0
8.498 0.000 0.000
0.000 8.530 0.017
-4.249 -4.245 6.012
Sr Dy Ag Se
4 3 1 8
direct
0.500 0.000 0.000
0.500 0.000 0.500
0.000 0.000 0.000
0.000 0.000 0.500
0.500 0.500 0.000
0.500 0.500 0.500
0.000 0.500 0.500
0.000 0.500 0.000
0.245 0.729 0.983
0.246 0.730 0.491
0.256 0.270 0.513
0.738 0.729 0.983
0.262 0.271 0.017
0.744 0.730 0.487
0.754 0.270 0.509
0.755 0.271 0.017
```

Computed properties:
E_form (uncorrected): -1740 meV/atom
Total energy: -79.11 eV/cell